K3Pu3ZnTe8 (PBE, relaxed); calculated total energy = -85.63 eV/cell; formation energy (no corrections) = -862 meV per atom; total magnetization = 0.8658 μB per atom
1.0
-0.0634 8.5540 3.2420
-4.0376 -2.0434 -7.5940
-4.3478 -3.0607 7.9906
Pu K Te Zn
3 3 8 1
direct
0.0000 0.5000 0.5000 Pu
0.5000 0.5000 0.5000 Pu
0.5000 0.0000 0.5000 Pu
0.0000 0.5000 0.0000 K
0.0000 0.0000 0.0000 K
0.5000 0.5000 0.0000 K
0.2629 0.5258 0.2907 Te
0.2027 0.4053 0.6796 Te
0.7973 0.5947 0.3204 Te
0.7514 0.0370 0.2893 Te
0.7144 0.9630 0.7107 Te
0.7371 0.4742 0.7093 Te
0.2856 0.0370 0.2893 Te
0.2486 0.9630 0.7107 Te
0.0000 0.0000 0.5000 Zn